No. 1
VASP calculation (GGA-PBE) on crystalline RbMnI2 at its relaxed geometry.

Properties
- V (Å³ per cell) = 152.7
- formation energy (no corrections) (meV per atom) = -257
- magnetization (Bohr magnetons per cell) = 6.00

abc: 5.999 5.999 5.999
angles: 60.00 60.00 60.00
Last column: magnetic moment on the atom in μB.
Sites, in units of the cell vectors:
I  0.750  0.750  0.750  0.12
I  0.250  0.250  0.250  0.12
Rb  0.500  0.500  0.500  0.01
Mn  0.000  0.000  0.000  4.83



No. 2
VASP calculation (GGA-PBE) on crystalline RbMnI4 at its relaxed geometry.

Properties
- V (Å³ per cell) = 689.8
- formation energy (no corrections) (meV per atom) = -661
- magnetization (Bohr magnetons per cell) = 7.98

abc: 5.794 12.489 10.976
angles: 115.99 90.00 103.41
Last column: magnetic moment on the atom in μB.
Sites, in units of the cell vectors:
I  0.820  0.640  0.139  -0.03
I  0.180  0.360  0.861  -0.03
I  0.820  0.639  0.499  -0.02
I  0.001  0.001  0.332  -0.05
I  0.407  0.815  0.405  0.01
I  0.999  0.999  0.668  -0.05
I  0.180  0.361  0.501  -0.02
I  0.593  0.185  0.595  0.01
Mn  0.906  0.812  0.405  3.81
Mn  0.094  0.188  0.595  3.81
Rb  0.243  0.487  0.244  0.00
Rb  0.757  0.513  0.756  0.00



No. 3
VASP calculation (GGA-PBE) on crystalline Rb2MnRhI6 at its relaxed geometry.

Properties
- V (Å³ per cell) = 365.7
- formation energy (no corrections) (meV per atom) = -664
- magnetization (Bohr magnetons per cell) = 4.59

abc: 8.029 8.029 8.025
angles: 59.99 59.99 90.00
Last column: magnetic moment on the atom in μB.
Sites, in units of the cell vectors:
I  0.755  0.755  0.000  0.02
I  0.245  0.755  0.000  0.02
I  0.245  0.245  0.510  0.02
I  0.245  0.245  0.000  0.02
I  0.755  0.755  0.490  0.02
I  0.755  0.245  0.000  0.02
Mn  0.500  0.500  0.000  4.17
Rh  0.000  0.000  0.000  -0.04
Rb  0.750  0.250  0.500  0.00
Rb  0.250  0.750  0.500  0.00



No. 4
VASP calculation (GGA-PBE) on crystalline RbMnSb2I at its relaxed geometry.

Properties
- V (Å³ per cell) = 159.5
- formation energy (no corrections) (meV per atom) = -13
- magnetization (Bohr magnetons per cell) = 0.00

abc: 4.953 4.953 6.502
angles: 90.00 90.00 90.00
Sites, in units of the cell vectors:
Sb  0.000  0.500  0.000
Sb  0.500  0.000  0.000
I  0.000  0.000  0.500
Rb  0.500  0.500  0.500
Mn  0.000  0.000  0.000



No. 5
VASP calculation (GGA-PBE) on crystalline RbMnSbI2 at its relaxed geometry.

Properties
- V (Å³ per cell) = 189.1
- formation energy (no corrections) (meV per atom) = -366
- magnetization (Bohr magnetons per cell) = 3.00

abc: 6.051 6.051 5.163
angles: 90.00 90.00 90.00
Last column: magnetic moment on the atom in μB.
Sites, in units of the cell vectors:
Mn  0.000  0.000  0.000  3.86
Sb  0.000  0.000  0.500  -0.44
I  0.000  0.500  0.000  -0.04
I  0.500  0.000  0.000  -0.04
Rb  0.500  0.500  0.500  0.00



No. 6
VASP calculation (GGA-PBE) on crystalline RbMnSb2I at its relaxed geometry.

Properties
- V (Å³ per cell) = 268.8
- formation energy (no corrections) (meV per atom) = 1303
- magnetization (Bohr magnetons per cell) = 2.88

abc: 6.426 6.426 6.511
angles: 90.00 90.00 90.00
Last column: magnetic moment on the atom in μB.
Sites, in units of the cell vectors:
I  0.000  0.000  0.500  -0.08
Mn  0.500  0.500  0.500  4.73
Rb  0.000  0.000  0.000  -0.04
Sb  0.000  0.500  0.000  -0.46
Sb  0.500  0.000  0.000  -0.46



No. 7
VASP calculation (GGA-PBE) on crystalline RbMn2SbI8 at its relaxed geometry.

Properties
- V (Å³ per cell) = 548.7
- formation energy (no corrections) (meV per atom) = -500
- magnetization (Bohr magnetons per cell) = 10.00

abc: 7.368 7.368 12.423
angles: 72.75 72.75 60.00
Last column: magnetic moment on the atom in μB.
Sites, in units of the cell vectors:
I  0.131  0.770  0.674  0.04
I  0.869  0.575  0.326  0.04
I  0.770  0.425  0.674  0.04
I  0.575  0.230  0.326  0.04
I  0.425  0.131  0.674  0.04
I  0.679  0.679  0.964  0.06
I  0.321  0.321  0.036  0.06
I  0.230  0.869  0.326  0.04
Sb  0.500  0.500  0.500  0.06
Rb  0.000  0.000  0.000  0.00
Mn  0.247  0.247  0.260  4.22
Mn  0.753  0.753  0.740  4.22



No. 8
VASP calculation (GGA-PBE) on crystalline RbScMn2I8 at its relaxed geometry.

Properties
- V (Å³ per cell) = 526.3
- formation energy (no corrections) (meV per atom) = -789
- magnetization (Bohr magnetons per cell) = 10.00

abc: 7.271 7.271 12.238
angles: 72.72 72.72 60.00
Last column: magnetic moment on the atom in μB.
Sites, in units of the cell vectors:
Sc  0.500  0.500  0.500  0.12
I  0.762  0.426  0.667  0.03
I  0.855  0.574  0.333  0.03
I  0.680  0.680  0.960  0.07
I  0.574  0.238  0.333  0.03
I  0.145  0.762  0.667  0.03
I  0.238  0.855  0.333  0.03
I  0.320  0.320  0.040  0.07
I  0.426  0.145  0.667  0.03
Rb  0.000  0.000  0.000  0.00
Mn  0.244  0.244  0.268  4.24
Mn  0.756  0.756  0.732  4.24



No. 9
VASP calculation (GGA-PBE) on crystalline Rb2MnSeI6 at its relaxed geometry.

Properties
- V (Å³ per cell) = 422.0
- formation energy (no corrections) (meV per atom) = -630
- magnetization (Bohr magnetons per cell) = 3.07

abc: 8.490 8.490 8.385
angles: 59.59 59.59 90.00
Last column: magnetic moment on the atom in μB.
Sites, in units of the cell vectors:
Rb  0.250  0.750  0.500  0.00
Rb  0.750  0.250  0.500  0.00
I  0.237  0.237  0.526  0.00
I  0.274  0.726  0.000  -0.06
I  0.726  0.274  0.000  -0.06
I  0.726  0.726  0.000  -0.07
I  0.763  0.763  0.474  0.00
I  0.274  0.274  0.000  -0.07
Se  0.000  0.000  0.000  -0.49
Mn  0.500  0.500  0.000  3.88



No. 10
VASP calculation (GGA-PBE) on crystalline Rb2MnSiI6 at its relaxed geometry.

Properties
- V (Å³ per cell) = 396.8
- formation energy (no corrections) (meV per atom) = -705
- magnetization (Bohr magnetons per cell) = 5.00

abc: 8.249 8.249 8.248
angles: 60.00 60.00 90.00
Last column: magnetic moment on the atom in μB.
Sites, in units of the cell vectors:
Mn  0.000  0.000  0.000  4.27
I  0.248  0.248  0.504  0.03
I  0.248  0.752  0.000  0.03
I  0.752  0.248  0.000  0.03
I  0.248  0.248  0.000  0.03
I  0.752  0.752  0.496  0.03
I  0.752  0.752  0.000  0.03
Rb  0.250  0.750  0.500  0.00
Rb  0.750  0.250  0.500  0.00
Si  0.500  0.500  0.000  0.06



No. 11
VASP calculation (GGA-PBE) on crystalline RbSmMnI6 at its relaxed geometry.

Properties
- V (Å³ per cell) = 868.1
- formation energy (no corrections) (meV per atom) = -1098
- magnetization (Bohr magnetons per cell) = 10.00

abc: 7.810 7.810 16.433
angles: 90.00 90.00 120.00
Last column: magnetic moment on the atom in μB.
Sites, in units of the cell vectors:
I  0.984  0.364  0.144  0.03
I  0.364  0.380  0.856  0.03
I  0.620  0.636  0.644  0.03
I  0.380  0.016  0.144  0.03
I  0.636  0.620  0.144  0.03
I  0.636  0.016  0.356  0.03
I  0.364  0.984  0.644  0.03
I  0.620  0.984  0.856  0.03
I  0.016  0.380  0.644  0.03
I  0.016  0.636  0.856  0.03
I  0.984  0.620  0.356  0.03
I  0.380  0.364  0.356  0.03
Rb  0.000  0.000  0.000  0.00
Rb  0.000  0.000  0.500  0.00
Sm  0.667  0.333  0.750  0.01
Sm  0.333  0.667  0.250  0.01
Mn  0.667  0.333  0.250  4.36
Mn  0.333  0.667  0.750  4.36



No. 12
VASP calculation (GGA-PBE) on crystalline Rb2MnSnI6 at its relaxed geometry.

Properties
- V (Å³ per cell) = 429.8
- formation energy (no corrections) (meV per atom) = -857
- magnetization (Bohr magnetons per cell) = 5.00

abc: 8.549 8.548 8.396
angles: 59.39 59.38 59.99
Last column: magnetic moment on the atom in μB.
Sites, in units of the cell vectors:
I  0.082  0.488  0.809  0.03
I  0.144  0.011  0.295  0.03
I  0.551  0.144  0.294  0.03
I  0.621  0.082  0.809  0.03
I  0.489  0.621  0.809  0.03
I  0.012  0.550  0.294  0.03
Sn  0.816  0.817  0.551  0.06
Mn  0.316  0.316  0.051  4.31
Rb  0.075  0.074  0.776  0.00
Rb  0.558  0.558  0.327  0.00



Q: What is the magnetization in the third record?
A: 4.59 Bohr magnetons per cell



Q: What is the formula in the tenth record?
A: Rb2MnSiI6